The following is a DFT calculation (GGA+U) of Rb3MgNi2F9 after structural relaxation.

* raw total energy: -67.203 eV for the cell shown
* N(E_F): 0.00 states/eV/f.u.
* spin magnetization: 3.98 μB per cell

a b c (Å): 5.8355 5.8355 7.1480
angles (deg): 90.00 90.00 120.00
Space group P-3m1 (No. 164)
Symmetry-distinct sites (fractional):
Rb1 0.0000 0.0000 0.0000 [1 per cell]
Rb2 0.3333 0.6667 0.6691 [2 per cell]
Mg1 0.0000 0.0000 0.5000 [1 per cell]
Ni1 0.3333 0.6667 0.1690 [2 per cell]
F1 0.0000 0.5000 0.0000 [3 per cell]
F2 0.1660 0.3320 0.3347 [6 per cell]